Record 1
Entry from Alexandria via LeMat-Bulk: a relaxed NaSnSe2N crystal (PBE-GGA).

Lattice parameters (Å, degrees): 5.3119 5.3119 4.3992 90.00 90.00 90.00
With the nearest neighbours (Å) after each atom.
Element x y z (fractional)
1 Na 0.0000 0.0000 0.0000  2 N 2.20
2 Sn 0.5000 0.5000 0.5000  8 Se 3.45, 4 N 3.76
3 Se 0.0000 0.5000 0.0000  2 Na 2.66
4 Se 0.5000 0.0000 0.0000  2 Na 2.66
5 N 0.0000 0.0000 0.5000  2 Na 2.20

Properties
* energy relative to the elements, uncorrected: 0.9213 eV/atom
* M_tot: 0.761 μB per atom
* VASP energy: -0.2353 Ry per atom
* SG: No. 123



Record 2
Entry from Alexandria via LeMat-Bulk: a relaxed NaTcSeN2 crystal (PBE-GGA).

Lattice parameters (Å, degrees): 3.8730 3.8730 5.3066 90.00 90.00 90.00
With the nearest neighbours (Å) after each atom.
Element x y z (fractional)
1 Na 0.0000 0.0000 0.0000  4 Se 2.74
2 Tc 0.5000 0.5000 0.5000  4 N 1.94
3 Se 0.5000 0.5000 0.0000  2 Tc 2.65, 4 Na 2.74
4 N 0.0000 0.5000 0.5000  2 Tc 1.94
5 N 0.5000 0.0000 0.5000  2 Tc 1.94

Properties
* energy relative to the elements, uncorrected: 0.2096 eV/atom
* M_tot: 0.000 μB per atom
* VASP energy: -0.4523 Ry per atom
* SG: No. 123



Excess energy over the best structure of this formula in the dataset for every record listed, in sequence, given in meV/atom: 608, 0.